A relaxed Ti4Al2Sn crystal. Source: Alexandria via LeMat-Bulk, functional PBE. Values from VASP.

Cell and atoms, written as Quantum ESPRESSO input:
```
&SYSTEM
  ibrav = 0, nat = 14, ntyp = 3
/
ATOMIC_SPECIES
Ti 47.87 Ti.upf
Al 26.98 Al.upf
Sn 118.71 Sn.upf
ATOMIC_POSITIONS crystal
Ti 0.621 0.496 0.281
Ti 0.012 0.750 0.850
Ti 0.988 0.250 0.150
Ti 0.621 0.004 0.281
Ti 0.865 0.250 0.548
Ti 0.379 0.996 0.719
Ti 0.379 0.504 0.719
Ti 0.135 0.750 0.452
Al 0.573 0.750 0.991
Al 0.427 0.250 0.009
Al 0.296 0.250 0.442
Al 0.704 0.750 0.558
Sn 0.099 0.750 0.161
Sn 0.901 0.250 0.839
CELL_PARAMETERS angstrom
4.984 0.000 -0.305
0.000 5.480 0.000
-1.997 0.000 9.261
```

Its space group is P2_1/m (11). As for the volume: 249.6 Å³ per cell. The total energy comes out at -0.466 Ry per atom. The formation enthalpy at 0 K is -0.19 eV/atom.



A relaxed Ti12AlSn6 crystal. Source: Alexandria via LeMat-Bulk, functional PBE. Values from VASP.

Cell and atoms, written as Quantum ESPRESSO input:
```
&SYSTEM
  ibrav = 0, nat = 19, ntyp = 3
/
ATOMIC_SPECIES
Ti 47.87 Ti.upf
Al 26.98 Al.upf
Sn 118.71 Sn.upf
ATOMIC_POSITIONS crystal
Ti 0.792 0.532 0.450
Ti 0.450 0.792 0.532
Ti 0.532 0.450 0.792
Ti 0.208 0.468 0.550
Ti 0.550 0.208 0.468
Ti 0.468 0.550 0.208
Ti 0.063 0.144 0.372
Ti 0.856 0.628 0.937
Ti 0.628 0.937 0.856
Ti 0.937 0.856 0.628
Ti 0.144 0.372 0.063
Ti 0.372 0.063 0.144
Al 0.000 0.000 0.000
Sn 0.713 0.877 0.263
Sn 0.737 0.287 0.123
Sn 0.123 0.737 0.287
Sn 0.287 0.123 0.737
Sn 0.263 0.713 0.877
Sn 0.877 0.263 0.713
CELL_PARAMETERS angstrom
7.062 0.412 0.494
-0.663 7.043 0.494
-0.663 -0.773 7.018
```

Its space group is R-3 (148). As for the volume: 356.1 Å³ per cell. The total energy comes out at -0.486 Ry per atom. The formation enthalpy at 0 K is -0.17 eV/atom.



A relaxed Ti4AlSn2 crystal. Source: Alexandria via LeMat-Bulk, functional PBE. Values from VASP.

Cell and atoms, written as Quantum ESPRESSO input:
```
&SYSTEM
  ibrav = 0, nat = 14, ntyp = 3
/
ATOMIC_SPECIES
Ti 47.87 Ti.upf
Al 26.98 Al.upf
Sn 118.71 Sn.upf
ATOMIC_POSITIONS crystal
Ti 0.036 0.279 0.392
Ti 0.363 0.471 0.257
Ti 0.887 0.644 0.608
Ti 0.721 0.113 0.757
Ti 0.356 0.964 0.243
Ti 0.214 0.106 0.743
Ti 0.529 0.786 0.892
Ti 0.894 0.637 0.108
Al 0.250 0.750 0.500
Al 0.000 0.000 0.000
Sn 0.509 0.375 0.633
Sn 0.742 0.875 0.367
Sn 0.625 0.258 0.133
Sn 0.125 0.492 0.867
CELL_PARAMETERS angstrom
-3.521 3.925 -4.637
4.100 -4.509 -3.487
-4.528 -3.540 4.035
```

Its space group is I-42d (122). As for the volume: 266.5 Å³ per cell. The total energy comes out at -0.471 Ry per atom. The formation enthalpy at 0 K is -0.22 eV/atom.



A relaxed Ti2AlSn crystal. Source: Alexandria via LeMat-Bulk, functional PBE. Values from VASP.

Cell and atoms, written as Quantum ESPRESSO input:
```
&SYSTEM
  ibrav = 0, nat = 8, ntyp = 3
/
ATOMIC_SPECIES
Al 26.98 Al.upf
Sn 118.71 Sn.upf
Ti 47.87 Ti.upf
ATOMIC_POSITIONS crystal
Al 0.500 0.500 0.000
Al 0.250 0.750 0.500
Sn 0.000 0.000 0.000
Sn 0.750 0.250 0.500
Ti 0.617 0.125 0.250
Ti 0.133 0.625 0.250
Ti 0.375 0.383 0.750
Ti 0.875 0.867 0.750
CELL_PARAMETERS angstrom
7.384 0.000 0.000
0.000 7.384 0.000
3.692 3.692 2.845
```

Its space group is I-42d (122). As for the volume: 155.1 Å³ per cell. The total energy comes out at -0.429 Ry per atom. The formation enthalpy at 0 K is 0.05 eV/atom.



A relaxed TiAl4Sn crystal. Source: Alexandria via LeMat-Bulk, functional PBE. Values from VASP.

Cell and atoms, written as Quantum ESPRESSO input:
```
&SYSTEM
  ibrav = 0, nat = 6, ntyp = 3
/
ATOMIC_SPECIES
Al 26.98 Al.upf
Sn 118.71 Sn.upf
Ti 47.87 Ti.upf
ATOMIC_POSITIONS crystal
Al 0.626 0.626 0.123
Al 0.626 0.123 0.626
Al 0.626 0.626 0.626
Al 0.123 0.626 0.626
Sn 0.250 0.250 0.250
Ti 0.000 0.000 0.000
CELL_PARAMETERS angstrom
5.310 0.000 0.000
2.655 4.599 0.000
2.655 1.533 4.336
```

Its space group is F-43m (216). As for the volume: 105.9 Å³ per cell. The total energy comes out at -0.333 Ry per atom. The formation enthalpy at 0 K is -0.06 eV/atom.



A relaxed TiAlZnSn2 crystal. Source: Alexandria via LeMat-Bulk, functional PBE. Values from VASP.

Cell and atoms, written as Quantum ESPRESSO input:
```
&SYSTEM
  ibrav = 0, nat = 5, ntyp = 4
/
ATOMIC_SPECIES
Zn 65.41 Zn.upf
Al 26.98 Al.upf
Sn 118.71 Sn.upf
Ti 47.87 Ti.upf
ATOMIC_POSITIONS crystal
Zn 0.500 0.500 0.500
Al 0.000 0.000 0.000
Sn 0.000 0.000 0.500
Sn 0.500 0.000 0.000
Ti 0.000 0.500 0.000
CELL_PARAMETERS angstrom
5.168 0.000 0.000
0.000 4.973 0.000
0.000 0.000 5.168
```

Its space group is P4/mmm (123). As for the volume: 132.8 Å³ per cell. The total energy comes out at -0.254 Ry per atom. The formation enthalpy at 0 K is 0.73 eV/atom.



A relaxed AlTlSn crystal. Source: Alexandria via LeMat-Bulk, functional PBE. Values from VASP.

Cell and atoms, written as Quantum ESPRESSO input:
```
&SYSTEM
  ibrav = 0, nat = 3, ntyp = 3
/
ATOMIC_SPECIES
Tl 204.38 Tl.upf
Sn 118.71 Sn.upf
Al 26.98 Al.upf
ATOMIC_POSITIONS crystal
Tl 0.000 0.000 0.018
Sn 0.333 0.667 0.642
Al 0.667 0.333 0.341
CELL_PARAMETERS angstrom
-2.673 1.625 -1.226
-0.086 -1.268 3.110
2.807 6.753 2.831
```

Its space group is P3m1 (156). As for the volume: 76.7 Å³ per cell. The total energy comes out at -0.234 Ry per atom. The formation enthalpy at 0 K is 0.19 eV/atom. For the distance to the lowest polymorph of the same formula, the calculation gives 112.5 meV/atom.



A relaxed AlTlSn2 crystal. Source: Alexandria via LeMat-Bulk, functional PBE. Values from VASP.

Cell and atoms, written as Quantum ESPRESSO input:
```
&SYSTEM
  ibrav = 0, nat = 8, ntyp = 3
/
ATOMIC_SPECIES
Tl 204.38 Tl.upf
Sn 118.71 Sn.upf
Al 26.98 Al.upf
ATOMIC_POSITIONS crystal
Tl 0.000 0.000 0.000
Tl 0.750 0.250 0.500
Sn 0.576 0.125 0.250
Sn 0.174 0.625 0.250
Sn 0.375 0.424 0.750
Sn 0.875 0.826 0.750
Al 0.500 0.500 0.000
Al 0.250 0.750 0.500
CELL_PARAMETERS angstrom
5.836 0.000 0.000
0.000 5.836 0.000
2.918 2.918 7.797
```

Its space group is I-42d (122). As for the volume: 265.6 Å³ per cell. The total energy comes out at -0.238 Ry per atom. The formation enthalpy at 0 K is 0.29 eV/atom. For the distance to the lowest polymorph of the same formula, the calculation gives 207.9 meV/atom.



A relaxed Al2Tl2Sn crystal. Source: Alexandria via LeMat-Bulk, functional PBE. Values from VASP.

Cell and atoms, written as Quantum ESPRESSO input:
```
&SYSTEM
  ibrav = 0, nat = 10, ntyp = 3
/
ATOMIC_SPECIES
Tl 204.38 Tl.upf
Sn 118.71 Sn.upf
Al 26.98 Al.upf
ATOMIC_POSITIONS crystal
Tl 0.180 0.680 0.500
Tl 0.680 0.820 0.500
Tl 0.820 0.320 0.500
Tl 0.320 0.180 0.500
Sn 0.000 0.000 0.000
Sn 0.500 0.500 0.000
Al 0.372 0.872 0.000
Al 0.872 0.628 0.000
Al 0.628 0.128 0.000
Al 0.128 0.372 0.000
CELL_PARAMETERS angstrom
7.412 0.000 0.000
0.000 7.412 0.000
0.000 0.000 4.670
```

Its space group is P4/mbm (127). As for the volume: 256.5 Å³ per cell. The total energy comes out at -0.225 Ry per atom. The formation enthalpy at 0 K is 0.19 eV/atom. For the distance to the lowest polymorph of the same formula, the calculation gives 0.0 meV/atom.



A relaxed AlTlSn crystal. Source: Alexandria via LeMat-Bulk, functional PBE. Values from VASP.

Cell and atoms, written as Quantum ESPRESSO input:
```
&SYSTEM
  ibrav = 0, nat = 6, ntyp = 3
/
ATOMIC_SPECIES
Tl 204.38 Tl.upf
Sn 118.71 Sn.upf
Al 26.98 Al.upf
ATOMIC_POSITIONS crystal
Tl 0.000 0.500 0.891
Tl 0.500 0.000 0.109
Sn 0.000 0.500 0.291
Sn 0.500 0.000 0.709
Al 0.500 0.500 0.500
Al 0.000 0.000 0.500
CELL_PARAMETERS angstrom
-1.091 2.407 3.223
-3.080 -2.648 0.935
5.839 -4.821 5.577
```

Its space group is P4/nmm (129). As for the volume: 163.4 Å³ per cell. The total energy comes out at -0.242 Ry per atom. The formation enthalpy at 0 K is 0.07 eV/atom. For the distance to the lowest polymorph of the same formula, the calculation gives 0.0 meV/atom.



A relaxed AlTlSn2 crystal. Source: Alexandria via LeMat-Bulk, functional PBE. Values from VASP.

Cell and atoms, written as Quantum ESPRESSO input:
```
&SYSTEM
  ibrav = 0, nat = 4, ntyp = 3
/
ATOMIC_SPECIES
Tl 204.38 Tl.upf
Sn 118.71 Sn.upf
Al 26.98 Al.upf
ATOMIC_POSITIONS crystal
Tl 0.500 0.500 0.500
Sn 0.250 0.250 0.250
Sn 0.750 0.750 0.750
Al 0.000 0.000 0.000
CELL_PARAMETERS angstrom
0.000 3.736 3.736
3.736 0.000 3.736
3.736 3.736 0.000
```

Its space group is Fm-3m (225). As for the volume: 104.3 Å³ per cell. The total energy comes out at -0.246 Ry per atom. The formation enthalpy at 0 K is 0.19 eV/atom. For the distance to the lowest polymorph of the same formula, the calculation gives 108.2 meV/atom.



A relaxed Al2TlSn2 crystal. Source: Alexandria via LeMat-Bulk, functional PBE. Values from VASP.

Cell and atoms, written as Quantum ESPRESSO input:
```
&SYSTEM
  ibrav = 0, nat = 5, ntyp = 3
/
ATOMIC_SPECIES
Tl 204.38 Tl.upf
Sn 118.71 Sn.upf
Al 26.98 Al.upf
ATOMIC_POSITIONS crystal
Tl 0.000 0.000 0.000
Sn 0.374 0.374 0.253
Sn 0.626 0.626 0.747
Al 0.750 0.250 0.500
Al 0.250 0.750 0.500
CELL_PARAMETERS angstrom
-1.343 0.327 4.659
2.972 -3.679 1.115
5.040 2.027 3.845
```

Its space group is I4/mmm (139). As for the volume: 134.6 Å³ per cell. The total energy comes out at -0.253 Ry per atom. The formation enthalpy at 0 K is 0.13 eV/atom. For the distance to the lowest polymorph of the same formula, the calculation gives 11.4 meV/atom.